## CdNiRh (PBE)

Data for a relaxed structure of CdNiRh.

Results
* DFT formation energy: 0.10 eV per formula unit
* VASP energy: -4.65 eV/atom
* crystal system: tetragonal
* SG: P4/nmm

Lattice parameters (Å, degrees): 2.994 2.992 10.369 90.02 90.01 90.00
Element x y z (fractional)
Ni  0.373  0.791  0.696
Rh  0.872  0.291  0.559
Rh  0.373  0.791  0.954
Ni  0.872  0.291  0.816
Cd  0.873  0.292  0.137
Cd  0.372  0.791  0.375